DFT (PBE) results for a relaxed Pu5MgBi6 crystal.

Cell: 4.561 9.011 10.097 Å, 76.65 76.99 90.00°
Fractional coordinates of all 12 atoms:
Pu: 0.000 0.000 0.000
Pu: 0.332 0.666 0.336
Pu: 0.335 0.172 0.330
Pu: 0.665 0.828 0.670
Pu: 0.668 0.334 0.664
Mg: 0.000 0.500 0.000
Bi: 0.164 0.580 0.672
Bi: 0.167 0.081 0.665
Bi: 0.498 0.745 0.003
Bi: 0.502 0.255 0.997
Bi: 0.833 0.919 0.335
Bi: 0.836 0.420 0.328

Results
Fermi-level density of states ... 6.041 states/eV per atom
DFT formation energy ... -0.24 eV/atom
DFT total energy ... -8.29 eV per atom
M_tot ... 1.28 μB/atom



DFT (PBE) results for a relaxed AlCr2Cd2 crystal.

Cell: 3.868 3.868 12.357 Å, 90.00 90.00 90.00°
Fractional coordinates of all 10 atoms:
Al: 0.000 0.000 0.000
Al: 0.500 0.500 0.500
Cr: 0.000 0.000 0.424
Cr: 0.000 0.000 0.576
Cr: 0.500 0.500 0.076
Cr: 0.500 0.500 0.924
Cd: 0.000 0.500 0.250
Cd: 0.000 0.500 0.750
Cd: 0.500 0.000 0.250
Cd: 0.500 0.000 0.750

Results
Fermi-level density of states ... 0.863 states/eV per atom
DFT formation energy ... 0.68 eV/atom
DFT total energy ... -4.28 eV per atom
M_tot ... 0.38 μB/atom
Polymorph energy (0 for the lowest one) ... 250.0 meV/atom



DFT (PBE) results for a relaxed Ge4Pb crystal.

Cell: 5.414 5.414 5.414 Å, 90.00 90.00 90.00°
Fractional coordinates of all 5 atoms:
Ge: 0.000 0.000 0.000
Ge: 0.000 0.500 0.500
Ge: 0.500 0.000 0.500
Ge: 0.500 0.500 0.000
Pb: 0.500 0.500 0.500

Results
Fermi-level density of states ... 0.621 states/eV per atom
DFT formation energy ... 1.21 eV/atom
DFT total energy ... -3.23 eV per atom
M_tot ... 0.00 μB/atom



DFT (PBE) results for a relaxed ReMo2Pb2 crystal.

Cell: 3.945 3.945 14.112 Å, 90.00 90.00 90.00°
Fractional coordinates of all 10 atoms:
Re: 0.000 0.000 0.000
Re: 0.500 0.500 0.500
Mo: 0.000 0.000 0.420
Mo: 0.000 0.000 0.580
Mo: 0.500 0.500 0.080
Mo: 0.500 0.500 0.920
Pb: 0.000 0.500 0.250
Pb: 0.000 0.500 0.750
Pb: 0.500 0.000 0.250
Pb: 0.500 0.000 0.750

Results
Fermi-level density of states ... 0.856 states/eV per atom
DFT formation energy ... 1.42 eV/atom
DFT total energy ... -6.89 eV per atom
M_tot ... 0.18 μB/atom



DFT (PBE) results for a relaxed HgPtOF2 crystal.

Cell: 4.514 4.514 3.799 Å, 90.00 90.00 90.00°
Fractional coordinates of all 5 atoms:
Hg: 0.000 0.000 0.000
Pt: 0.500 0.500 0.500
O: 0.500 0.500 0.000
F: 0.000 0.500 0.500
F: 0.500 0.000 0.500

Results
Fermi-level density of states ... 0.716 states/eV per atom
Raw formation energy ... -2.7 eV/f.u.
DFT total energy ... -3.55 eV per atom
M_tot ... 0.00 μB/atom
Polymorph energy (0 for the lowest one) ... 0.0 meV/atom



DFT (PBE) results for a relaxed PuRuRhAu crystal.

Cell: 6.545 6.545 6.545 Å, 90.00 90.00 90.00°
Fractional coordinates of all 16 atoms:
Pu: 0.000 0.000 0.000
Pu: 0.000 0.500 0.500
Pu: 0.500 0.000 0.500
Pu: 0.500 0.500 0.000
Ru: 0.250 0.250 0.250
Ru: 0.250 0.750 0.750
Ru: 0.750 0.250 0.750
Ru: 0.750 0.750 0.250
Rh: 0.250 0.250 0.750
Rh: 0.250 0.750 0.250
Rh: 0.750 0.250 0.250
Rh: 0.750 0.750 0.750
Au: 0.000 0.000 0.500
Au: 0.000 0.500 0.000
Au: 0.500 0.000 0.000
Au: 0.500 0.500 0.500

Results
Fermi-level density of states ... 1.424 states/eV per atom
DFT formation energy ... -0.19 eV/atom
DFT total energy ... -8.75 eV per atom
M_tot ... 0.89 μB/atom



DFT (PBE) results for a relaxed Hf2HgBr crystal.

Cell: 4.354 4.354 20.379 Å, 90.00 90.00 90.00°
Fractional coordinates of all 16 atoms:
Hf: 0.246 0.250 0.125
Hf: 0.250 0.746 0.375
Hf: 0.250 0.754 0.875
Hf: 0.254 0.250 0.625
Hf: 0.746 0.750 0.625
Hf: 0.750 0.246 0.875
Hf: 0.750 0.254 0.375
Hf: 0.754 0.750 0.125
Hg: 0.000 0.000 0.000
Hg: 0.000 0.500 0.250
Hg: 0.500 0.000 0.750
Hg: 0.500 0.500 0.500
Br: 0.000 0.000 0.500
Br: 0.000 0.500 0.750
Br: 0.500 0.000 0.250
Br: 0.500 0.500 0.000

Results
Fermi-level density of states ... 0.739 states/eV per atom
Raw formation energy ... 1.2 eV/f.u.
DFT total energy ... -5.16 eV per atom
M_tot ... 0.00 μB/atom
Polymorph energy (0 for the lowest one) ... 221.2 meV/atom



Q: Fermi-level density of states of number 3 (Ge4Pb)?
A: 0.621 states/eV per atom



Q: The lowest Fermi-level density of states belongs to which entry?
A: Ge4Pb



Q: Number 6 is which compound?
A: PuRuRhAu